Compound: Rb3Ba2MoO6
Source: Alexandria via LeMat-Bulk
Functional: GGA+U
Structure: optimized geometry

As for the total DFT energy (no corrections): -5.5067 eV per atom. The density comes out at 5.069 Mg/m³.

The space group is C2/m (No. 12) and the conventional cell measures 6.5092, 11.2675 and 6.8022 Å, with angles of 90.00, 108.29 and 90.00 degrees. Symmetry generates all atoms from Rb at (0.0000, 0.0000, 0.0000), Rb at (0.0000, 0.3396, 0.0000), Ba at (0.0000, 0.1695, 0.5000), Mo at (0.0000, 0.5000, 0.5000), O at (0.1913, 0.5000, 0.3234) and O at (0.1957, 0.3662, 0.6845).